! PBE-GGA KSb2Mo, optimized geometry; values from VASP
&SYSTEM
  ibrav = 0, nat = 4, ntyp = 3
/
ATOMIC_SPECIES
Sb 121.76 Sb.upf
K 39.10 K.upf
Mo 95.94 Mo.upf
CELL_PARAMETERS angstrom
-3.8829 0.5121 -4.6188
-5.9187 -0.1897 1.2668
4.8788 2.9511 2.0395
ATOMIC_POSITIONS angstrom
Sb 0.0000 0.0000 0.0000
Sb -2.9703 1.4613 0.8152
K -4.9008 0.1612 -1.6760
Mo -1.9524 1.8122 -2.1276
! Crystal system: tetragonal
! Formation energy (no corrections) (eV/atom): 0.689
! Total magnetization (μB/cell): 2.67
! Calculated density (Mg/m³): 6.2

=====

! PBE-GGA CeErS2, optimized geometry; values from VASP
&SYSTEM
  ibrav = 0, nat = 4, ntyp = 3
/
ATOMIC_SPECIES
Er 167.26 Er.upf
S 32.06 S.upf
Ce 140.12 Ce.upf
CELL_PARAMETERS angstrom
-3.3753 1.9865 0.0777
-3.2321 -1.5684 -1.5618
-3.6686 -2.5771 5.2673
ATOMIC_POSITIONS angstrom
Er 0.0000 0.0000 0.0000
S -7.7299 -1.6616 2.9274
S -2.5461 -0.4973 0.8558
Ce -5.1380 -1.0795 1.8916
! Crystal system: trigonal
! Formation energy (no corrections) (eV/atom): -2.014
! Total magnetization (μB/cell): 0.78
! Calculated density (Mg/m³): 7.1

=====

! PBE-GGA YSbIrF2, optimized geometry; values from VASP
&SYSTEM
  ibrav = 0, nat = 5, ntyp = 4
/
ATOMIC_SPECIES
Sb 121.76 Sb.upf
Ir 192.22 Ir.upf
F 19.00 F.upf
Y 88.91 Y.upf
CELL_PARAMETERS angstrom
-3.5717 -1.6232 1.3355
2.1553 -0.0404 5.7151
-1.5099 3.8131 0.5964
ATOMIC_POSITIONS angstrom
Sb -1.4631 1.0748 3.8235
Ir 1.0777 -0.0202 2.8576
F -1.7858 -0.8116 0.6677
F -0.7549 1.9065 0.2982
Y 0.0000 0.0000 0.0000
! Crystal system: tetragonal
! Formation energy (no corrections) (eV/atom): -1.845
! Total magnetization (μB/cell): 0.00
! Calculated density (Mg/m³): 7.0

=====

! PBE-GGA HfAlO3, optimized geometry; values from VASP
&SYSTEM
  ibrav = 0, nat = 5, ntyp = 3
/
ATOMIC_SPECIES
O 16.00 O.upf
Al 26.98 Al.upf
Hf 178.49 Hf.upf
CELL_PARAMETERS angstrom
4.0507 0.0000 0.0000
0.0000 4.0507 0.0000
0.0000 0.0000 4.0507
ATOMIC_POSITIONS angstrom
O 2.0253 0.0000 0.0000
O 0.0000 0.0000 2.0253
O 0.0000 2.0253 0.0000
Al 2.0253 2.0253 2.0253
Hf 0.0000 0.0000 0.0000
! Crystal system: cubic
! Formation energy (no corrections) (eV/atom): -2.114
! Total magnetization (μB/cell): 0.00
! Calculated density (Mg/m³): 6.3

=====

! PBE-GGA CrRe2Te, optimized geometry; values from VASP
&SYSTEM
  ibrav = 0, nat = 4, ntyp = 3
/
ATOMIC_SPECIES
Re 186.21 Re.upf
Te 127.60 Te.upf
Cr 52.00 Cr.upf
CELL_PARAMETERS angstrom
-1.6329 0.0033 2.5354
-2.6353 -2.3689 -1.6942
2.8175 -4.4362 1.8204
ATOMIC_POSITIONS angstrom
Re -1.5516 -2.0999 0.7969
Re 0.0492 -0.0774 0.0318
Te 1.4630 -2.3036 0.9452
Cr -0.0025 -4.5390 1.7978
! Crystal system: orthorhombic
! Formation energy (no corrections) (eV/atom): 0.609
! Total magnetization (μB/cell): 2.01
! Calculated density (Mg/m³): 13.9

=====

! PBE-GGA Sr2ErGaS5, optimized geometry; values from VASP
&SYSTEM
  ibrav = 0, nat = 18, ntyp = 4
/
ATOMIC_SPECIES
S 32.06 S.upf
Ga 69.72 Ga.upf
Sr 87.62 Sr.upf
Er 167.26 Er.upf
CELL_PARAMETERS angstrom
-3.6962 0.4570 -1.2866
4.5581 -1.8254 -7.7096
-2.0667 -12.0932 1.6415
ATOMIC_POSITIONS angstrom
S 0.1990 -9.0640 -3.7915
S -1.0819 -2.5142 -3.8188
S 1.9073 -1.1951 -5.9039
S -2.6613 -10.9055 -2.2624
S -2.4040 -3.0817 -0.2222
S -0.5013 -7.7241 -7.3377
S 1.1029 -10.9432 -7.0560
S 0.1735 -0.6057 -0.7136
S 0.9503 -5.5177 -4.6903
S -2.1008 -6.3493 -2.2540
Ga -3.4649 -11.2310 -0.0692
Ga 1.5059 -6.6441 -6.6865
Sr -0.7752 -8.6158 -0.8337
Sr 0.0170 -4.3060 -1.5787
Sr -1.5225 -10.9148 -5.5372
Sr -0.1468 -3.1910 -6.7456
Er -1.3534 -7.0663 -4.6558
Er 1.0740 -0.9806 -3.4338
! Crystal system: orthorhombic
! Formation energy (no corrections) (eV/atom): -1.748
! Total magnetization (μB/cell): 0.00
! Calculated density (Mg/m³): 4.4

=====

! PBE-GGA UTiGa2, optimized geometry; values from VASP
&SYSTEM
  ibrav = 0, nat = 4, ntyp = 3
/
ATOMIC_SPECIES
U 238.03 U.upf
Ga 69.72 Ga.upf
Ti 47.87 Ti.upf
CELL_PARAMETERS angstrom
4.4847 0.0000 0.0000
0.0000 4.0822 0.0000
0.0000 0.0000 4.0822
ATOMIC_POSITIONS angstrom
U 2.2423 2.0411 2.0411
Ga 0.0000 0.0000 2.0411
Ga 0.0000 2.0411 0.0000
Ti 2.2423 0.0000 0.0000
! Crystal system: tetragonal
! ΔH_f (0 K) (eV per atom): -0.053
! Total magnetization (μB/cell): 2.60
! Calculated density (Mg/m³): 9.5

=====

! PBE-GGA Sc2Al5AgRu2, optimized geometry; values from VASP
&SYSTEM
  ibrav = 0, nat = 20, ntyp = 4
/
ATOMIC_SPECIES
Sc 44.96 Sc.upf
Al 26.98 Al.upf
Ru 101.07 Ru.upf
Ag 107.87 Ag.upf
CELL_PARAMETERS angstrom
4.1472 0.0000 0.0000
0.0000 9.1141 0.0000
0.0000 0.0000 9.1141
ATOMIC_POSITIONS angstrom
Sc 0.0000 7.5136 6.1575
Sc 0.0000 2.9566 7.5136
Sc 0.0000 1.6005 2.9566
Sc 0.0000 6.1575 1.6005
Al 2.0736 4.5570 0.0000
Al 2.0736 8.4693 1.9210
Al 2.0736 2.6361 5.2019
Al 2.0736 3.9122 2.6361
Al 2.0736 0.6448 7.1931
Al 2.0736 5.2019 6.4780
Al 2.0736 0.0000 4.5570
Al 2.0736 7.1931 8.4693
Al 2.0736 6.4780 3.9122
Al 2.0736 1.9210 0.6448
Ru 0.0000 1.0780 5.6351
Ru 0.0000 5.6351 8.0361
Ru 0.0000 3.4790 1.0780
Ru 0.0000 8.0361 3.4790
Ag 0.0000 4.5570 4.5570
Ag 0.0000 0.0000 0.0000
! Crystal system: tetragonal
! ΔH_f (0 K) (eV per atom): -0.445
! Total magnetization (μB/cell): 0.00
! Calculated density (Mg/m³): 5.2